A plane-wave DFT calculation with PBE was carried out for NaVCoCl6 after structural relaxation.

Unit cell a=6.134 b=6.134 c=6.234 alpha=90.00 beta=90.00 gamma=60.00
Each line ends with the local moment (μB).
Element x y z (fractional)
Cl: 0.366 0.993 0.712  -0.01
Cl: 0.641 0.366 0.712  -0.01
Cl: 0.366 0.641 0.288  -0.01
Co: 0.667 0.667 0.500  0.74
Cl: 0.641 0.993 0.288  -0.01
Na: 0.000 0.000 0.000  0.00
Cl: 0.993 0.641 0.712  -0.01
Cl: 0.993 0.366 0.288  -0.01
V: 0.333 0.333 0.500  1.98

Results
SG: P312 (149)
electronic total energy: -4.262 eV/atom
formation energy (no corrections): -1.082 eV/atom